# K2NiW GGA-PBE relaxed
# Total DFT energy (no corrections) in eV per atom: -3.92
# ΔE_f in meV per atom: 1313
# Relative energy among the computed polymorphs in eV/atom: 0.474
data_K2NiW
_chemical_formula_sum 'K4 Ni2 W2'
_cell_length_a 3.082
_cell_length_b 4.723
_cell_length_c 11.515
_cell_angle_alpha 90.00
_cell_angle_beta 90.00
_cell_angle_gamma 90.00
_space_group_name_H-M_alt 'C m m m'
_space_group_IT_number 65
_space_group_name_Hall '-C 2 2'
loop_
_atom_site_label
_atom_site_fract_x
_atom_site_fract_y
_atom_site_fract_z
K1 0.000 0.000 0.228
Ni1 0.000 0.500 0.000
W1 0.000 0.500 0.500

=====

# TbHoNi GGA-PBE relaxed
# Total DFT energy (no corrections) in eV per atom: -5.16
# ΔE_f in meV per atom: -159
# Relative energy among the computed polymorphs in eV/atom: 0.132
data_TbHoNi
_chemical_formula_sum 'Tb4 Ho4 Ni4'
_cell_length_a 6.699
_cell_length_b 6.699
_cell_length_c 6.699
_cell_angle_alpha 90.00
_cell_angle_beta 90.00
_cell_angle_gamma 90.00
_space_group_name_H-M_alt 'F -4 3 m'
_space_group_IT_number 216
_space_group_name_Hall 'F -4 2 3'
loop_
_atom_site_label
_atom_site_fract_x
_atom_site_fract_y
_atom_site_fract_z
Tb1 0.000 0.000 0.000
Ho1 0.000 0.000 0.500
Ni1 0.250 0.250 0.750

=====

# TbDyGaPt GGA-PBE relaxed
# Total DFT energy (no corrections) in eV per atom: -5.51
# ΔE_f in meV per atom: -936
# Relative energy among the computed polymorphs in eV/atom: 0.000
data_TbDyGaPt
_chemical_formula_sum 'Tb2 Dy2 Ga2 Pt2'
_cell_length_a 4.445
_cell_length_b 3.788
_cell_length_c 10.943
_cell_angle_alpha 90.00
_cell_angle_beta 90.00
_cell_angle_gamma 90.00
_space_group_name_H-M_alt 'A m m 2'
_space_group_IT_number 38
loop_
_space_group_symop_operation_xyz
'x,y,z'
'-x,-y,z'
'-x,y,z'
'x,-y,z'
'x,y+1/2,z+1/2'
'-x,-y+1/2,z+1/2'
'-x,y+1/2,z+1/2'
'x,-y+1/2,z+1/2'
loop_
_atom_site_label
_atom_site_fract_x
_atom_site_fract_y
_atom_site_fract_z
Tb1 0.000 0.000 0.000
Dy1 0.500 0.000 0.716
Ga1 0.000 0.000 0.281
Pt1 0.500 0.000 0.435

=====

# Ce4Pb3O4 GGA-PBE relaxed
# Uncorrected formation energy in eV/f.u.: -20.7
# Total DFT energy (no corrections) in eV per atom: -6.86
data_Ce4Pb3O4
_chemical_formula_sum 'Ce8 Pb6 O8'
_cell_length_a 7.845
_cell_length_b 7.845
_cell_length_c 7.845
_cell_angle_alpha 90.00
_cell_angle_beta 90.00
_cell_angle_gamma 90.00
_space_group_name_H-M_alt 'I -4 3 m'
_space_group_IT_number 217
_space_group_name_Hall 'I -4 2 3'
loop_
_atom_site_label
_atom_site_fract_x
_atom_site_fract_y
_atom_site_fract_z
Ce1 0.163 0.163 0.163
Pb1 0.000 0.000 0.500
O1 0.130 0.130 0.870

=====

Copy entry 2 word for word.
# TbHoNi GGA-PBE relaxed
# Total DFT energy (no corrections) in eV per atom: -5.16
# ΔE_f in meV per atom: -159
# Relative energy among the computed polymorphs in eV/atom: 0.132
data_TbHoNi
_chemical_formula_sum 'Tb4 Ho4 Ni4'
_cell_length_a 6.699
_cell_length_b 6.699
_cell_length_c 6.699
_cell_angle_alpha 90.00
_cell_angle_beta 90.00
_cell_angle_gamma 90.00
_space_group_name_H-M_alt 'F -4 3 m'
_space_group_IT_number 216
_space_group_name_Hall 'F -4 2 3'
loop_
_atom_site_label
_atom_site_fract_x
_atom_site_fract_y
_atom_site_fract_z
Tb1 0.000 0.000 0.000
Ho1 0.000 0.000 0.500
Ni1 0.250 0.250 0.750